[1]
# La5Pu3H12

A relaxed La5Pu3H12 crystal (GGA-PBE, Alexandria).

Computed properties:
The total moment is 18.47 μB/f.u. The value obtained for the electronic total energy is -5.71 eV/atom.

Cell lengths 13.578, 13.578, 13.578 Å; angles 90.00, 90.00, 90.00 degrees
Space group Ia-3d (No. 230)
Unique sites:
La 0.000 0.000 0.000 [16 per cell]
La 0.000 0.250 0.375 [24 per cell]
Pu 0.000 0.250 0.125 [24 per cell]
H 0.000 0.077 0.157 [96 per cell]



[2]
# LaPu2H8

A relaxed LaPu2H8 crystal (GGA-PBE, Alexandria).

Computed properties:
The total moment is 10.92 μB/f.u. The value obtained for the electronic total energy is -5.97 eV/atom.

Cell lengths 3.817, 5.286, 11.441 Å; angles 90.00, 90.00, 90.00 degrees
Space group Immm (No. 71)
Unique sites:
La 0.000 0.000 0.000 [2 per cell]
Pu 0.000 0.000 0.318 [4 per cell]
H 0.000 0.211 0.500 [4 per cell]
H 0.000 0.274 0.161 [8 per cell]
H 0.000 0.500 0.331 [4 per cell]



[3]
# LaPuH6

A relaxed LaPuH6 crystal (GGA-PBE, Alexandria).

Computed properties:
The total moment is 4.99 μB/f.u. The value obtained for the electronic total energy is -5.25 eV/atom.

Cell lengths 3.398, 3.398, 6.777 Å; angles 90.00, 90.00, 90.00 degrees
Space group P4/mmm (No. 123)
Unique sites:
La 0.000 0.000 0.000 [1 per cell]
Pu 0.000 0.000 0.500 [1 per cell]
H 0.000 0.500 0.265 [4 per cell]
H 0.500 0.500 0.000 [1 per cell]
H 0.500 0.500 0.500 [1 per cell]



[4]
# LaPuH2

A relaxed LaPuH2 crystal (GGA-PBE, Alexandria).

Computed properties:
The total moment is 5.92 μB/f.u. The value obtained for the electronic total energy is -6.78 eV/atom.

Cell lengths 3.5939, 3.5939, 17.5290 Å; angles 90.00, 90.00, 120.00 degrees
Space group R-3m (No. 166, hexagonal axes)
Unique sites:
La 0.0000 0.0000 0.0000 [3 per cell]
Pu 0.0000 0.0000 0.5000 [3 per cell]
H 0.0000 0.0000 0.2462 [6 per cell]



[5]
# LaPuH8Rh2

A relaxed LaPuH8Rh2 crystal (GGA-PBE, Alexandria).

Computed properties:
The total moment is 5.05 μB/f.u. The value obtained for the electronic total energy is -5.35 eV/atom.

Cell lengths 4.6768, 4.6768, 19.1208 Å; angles 90.00, 90.00, 120.00 degrees
Space group R-3m (No. 166, hexagonal axes)
Unique sites:
La 0.0000 0.0000 0.0000 [3 per cell]
Pu 0.0000 0.0000 0.5000 [3 per cell]
H 0.0000 0.0000 0.1342 [6 per cell]
H 0.0188 0.5094 0.0598 [18 per cell]
Rh 0.0000 0.0000 0.2244 [6 per cell]



[6]
# La2PuH12Rh3

A relaxed La2PuH12Rh3 crystal (GGA-PBE, Alexandria).

Computed properties:
The total moment is 6.76 μB/f.u. The value obtained for the electronic total energy is -5.14 eV/atom.

Cell lengths 6.5809, 6.5809, 14.8731 Å; angles 90.00, 90.00, 120.00 degrees
Space group R-3m (No. 166, hexagonal axes)
Unique sites:
La 0.0000 0.0000 0.1130 [6 per cell]
Pu 0.0000 0.0000 0.5000 [3 per cell]
H 0.0387 0.5193 0.8855 [18 per cell]
H 0.0623 0.5311 0.3148 [18 per cell]
Rh 0.0000 0.5000 0.0000 [9 per cell]



Q: Number 1 is which compound?
A: La5Pu3H12



Q: What is the electronic total energy in the second record?
A: -5.97 eV/atom



Q: Among the records above, which one has the highest total moment?
A: La5Pu3H12